Entry 1:
# Sn6HgAu2, optimized geometry, DFT PBE
# Crystal system: triclinic
# Calculated volume: 26.30 A^3/atom
# E: -3.45 eV/atom
data_Sn6HgAu2
_chemical_formula_sum 'Sn6 Hg1 Au2'
_space_group_name_H-M_alt 'P -1'
_space_group_IT_number 2
_space_group_name_Hall '-P 1'
_cell_length_a 4.500
_cell_length_b 6.959
_cell_length_c 8.226
_cell_angle_alpha 91.37
_cell_angle_beta 103.64
_cell_angle_gamma 108.02
loop_
_atom_site_label
_atom_site_type_symbol
_atom_site_fract_x
_atom_site_fract_y
_atom_site_fract_z
Sn1 Sn 0.080 0.475 0.205
Sn2 Sn 0.345 0.205 0.989
Sn3 Sn 0.399 0.692 0.580
Hg1 Hg 0.000 0.000 0.500
Au1 Au 0.309 0.904 0.232

---

Entry 2:
# SnHg2Au, optimized geometry, DFT PBE
# Crystal system: tetragonal
# Calculated volume: 23.48 A^3/atom
# E: -1.85 eV/atom
data_SnHg2Au
_chemical_formula_sum 'Sn1 Hg2 Au1'
_space_group_name_H-M_alt 'P 4/m m m'
_space_group_IT_number 123
_space_group_name_Hall '-P 4 2'
_cell_length_a 3.498
_cell_length_b 3.498
_cell_length_c 7.678
_cell_angle_alpha 90.00
_cell_angle_beta 90.00
_cell_angle_gamma 90.00
loop_
_atom_site_label
_atom_site_type_symbol
_atom_site_fract_x
_atom_site_fract_y
_atom_site_fract_z
Sn1 Sn 0.000 0.000 0.000
Hg1 Hg 0.500 0.500 0.277
Au1 Au 0.000 0.000 0.500

---

Entry 3:
# Sn2HgAu, optimized geometry, DFT PBE
# Crystal system: trigonal
# Calculated volume: 25.42 A^3/atom
# E: -2.90 eV/atom
data_Sn2HgAu
_chemical_formula_sum 'Sn6 Hg3 Au3'
_space_group_name_H-M_alt 'R -3 m'
_space_group_IT_number 166
_space_group_name_Hall '-R 3 2"'
_cell_length_a 3.2640
_cell_length_b 3.2640
_cell_length_c 33.0574
_cell_angle_alpha 90.00
_cell_angle_beta 90.00
_cell_angle_gamma 120.00
loop_
_atom_site_label
_atom_site_type_symbol
_atom_site_fract_x
_atom_site_fract_y
_atom_site_fract_z
Sn1 Sn 0.0000 0.0000 0.0957
Hg1 Hg 0.0000 0.0000 0.0000
Au1 Au 0.0000 0.0000 0.5000

---

Among the records above, which one has the highest E?
SnHg2Au

---

What is the formula in the second record?
SnHg2Au

---

What is the calculated volume in the third record?
25.42 A^3/atom